*P*
First-principles (PBE-GGA) data for an optimized crystal structure of NpSe2I, as listed in Alexandria.

Cell and atoms, written as POSCAR:
```
NpSe2I
1.0
4.024 0.000 0.000
-2.012 3.485 0.000
0.000 0.000 30.949
Np Se I
3 6 3
Direct
0.000 0.000 0.000
0.333 0.667 0.667
0.667 0.333 0.333
0.000 0.000 0.283
0.000 0.000 0.717
0.333 0.667 0.383
0.333 0.667 0.950
0.667 0.333 0.050
0.667 0.333 0.617
0.000 0.000 0.500
0.333 0.667 0.167
0.667 0.333 0.833
```

Calculated values
* spin magnetization: 0.6390 μB/atom

*Q*
First-principles (PBE-GGA) data for an optimized crystal structure of NpSe2I, as listed in Alexandria.

Cell and atoms, written as POSCAR:
```
NpSe2I
1.0
4.489 0.000 0.000
-2.244 3.887 0.000
0.000 0.000 23.674
Np Se I
3 6 3
Direct
0.000 0.000 0.000
0.333 0.667 0.667
0.667 0.333 0.333
0.000 0.000 0.390
0.000 0.000 0.629
0.333 0.667 0.057
0.333 0.667 0.295
0.667 0.333 0.724
0.667 0.333 0.962
0.000 0.000 0.869
0.333 0.667 0.535
0.667 0.333 0.202
```

Calculated values
* spin magnetization: 0.4910 μB/atom

Winner for stability: *Q*

*P*
First-principles (PBE-GGA) data for an optimized crystal structure of NpSnI6, as listed in Alexandria.

Cell and atoms, written as POSCAR:
```
NpSnI6
1.0
3.849 2.222 7.002
-3.849 2.222 7.002
0.000 -4.445 7.002
Np Sn I
1 1 6
Direct
0.000 0.000 0.000
0.500 0.500 0.500
0.075 0.763 0.407
0.237 0.593 0.925
0.407 0.075 0.763
0.593 0.925 0.237
0.763 0.407 0.075
0.925 0.237 0.593
```

Calculated values
* spin magnetization: 0.3749 μB/atom

*Q*
First-principles (PBE-GGA) data for an optimized crystal structure of NpSnI6, as listed in Alexandria.

Cell and atoms, written as POSCAR:
```
NpSnI6
1.0
7.676 0.000 0.000
0.000 13.886 0.000
-2.289 0.000 7.317
Np Sn I
2 2 12
Direct
0.000 0.000 0.000
0.500 0.500 0.000
0.000 0.500 0.500
0.500 0.000 0.500
0.236 0.151 0.242
0.236 0.849 0.242
0.247 0.000 0.763
0.253 0.500 0.237
0.264 0.349 0.758
0.264 0.651 0.758
0.736 0.349 0.242
0.736 0.651 0.242
0.747 0.500 0.763
0.753 0.000 0.237
0.764 0.151 0.758
0.764 0.849 0.758
```

Calculated values
* spin magnetization: 0.3749 μB/atom

Winner for stability: *Q*

*P*
First-principles (PBE-GGA) data for an optimized crystal structure of NpTeI2, as listed in Alexandria.

Cell and atoms, written as POSCAR:
```
NpTeI2
1.0
6.085 0.000 0.000
0.000 14.442 0.000
0.000 0.000 8.193
Np Te I
4 4 8
Direct
0.250 0.100 0.000
0.250 0.400 0.500
0.750 0.600 0.500
0.750 0.900 0.000
0.000 0.000 0.279
0.000 0.500 0.779
0.500 0.000 0.279
0.500 0.500 0.779
0.250 0.207 0.651
0.250 0.293 0.151
0.250 0.601 0.360
0.250 0.899 0.860
0.750 0.101 0.860
0.750 0.399 0.360
0.750 0.707 0.151
0.750 0.793 0.651
```

Calculated values
* spin magnetization: 0.9583 μB/atom

*Q*
First-principles (PBE-GGA) data for an optimized crystal structure of NpTeI2, as listed in Alexandria.

Cell and atoms, written as POSCAR:
```
NpTeI2
1.0
3.979 0.000 0.000
0.000 11.792 0.000
0.000 0.000 7.467
Np Te I
2 2 4
Direct
0.000 0.000 0.000
0.500 0.500 0.500
0.000 0.500 0.795
0.500 0.000 0.295
0.000 0.330 0.326
0.000 0.670 0.326
0.500 0.170 0.826
0.500 0.830 0.826
```

Calculated values
* spin magnetization: 0.7484 μB/atom

Winner for stability: *P*

*P*
First-principles (PBE-GGA) data for an optimized crystal structure of I3O8, as listed in Alexandria.

Cell and atoms, written as POSCAR:
```
I3O8
1.0
7.485 0.000 0.000
-0.626 7.779 0.000
-1.367 -0.151 12.688
I O
12 32
Direct
0.028 0.259 0.334
0.156 0.694 0.141
0.206 0.762 0.427
0.292 0.167 0.604
0.352 0.290 0.866
0.377 0.769 0.875
0.623 0.231 0.125
0.648 0.710 0.134
0.708 0.833 0.396
0.794 0.238 0.573
0.844 0.306 0.859
0.972 0.741 0.666
0.075 0.056 0.629
0.096 0.482 0.310
0.106 0.216 0.878
0.110 0.786 0.796
0.171 0.708 0.591
0.197 0.317 0.509
0.202 0.847 0.041
0.221 0.834 0.259
0.282 0.525 0.897
0.290 0.348 0.716
0.294 0.986 0.455
0.394 0.250 0.015
0.408 0.076 0.824
0.409 0.601 0.143
0.419 0.669 0.440
0.492 0.253 0.231
0.508 0.747 0.769
0.581 0.331 0.560
0.591 0.399 0.857
0.592 0.924 0.176
0.606 0.750 0.985
0.706 0.014 0.545
0.710 0.652 0.284
0.718 0.475 0.103
0.779 0.166 0.741
0.798 0.153 0.959
0.803 0.683 0.491
0.829 0.292 0.409
0.890 0.214 0.204
0.894 0.784 0.122
0.904 0.518 0.690
0.925 0.944 0.371
```

Calculated values
* spin magnetization: 0.0000 μB/atom

*Q*
First-principles (PBE-GGA) data for an optimized crystal structure of I3O8, as listed in Alexandria.

Cell and atoms, written as POSCAR:
```
I3O8
1.0
7.850 0.000 0.000
0.000 7.545 0.000
-7.643 0.000 12.134
I O
12 32
Direct
0.057 0.056 0.337
0.057 0.444 0.837
0.371 0.715 0.096
0.371 0.785 0.596
0.427 0.215 0.110
0.427 0.285 0.610
0.573 0.715 0.390
0.573 0.785 0.890
0.629 0.215 0.404
0.629 0.285 0.904
0.943 0.556 0.163
0.943 0.944 0.663
0.030 0.076 0.785
0.030 0.424 0.285
0.143 0.650 0.930
0.143 0.850 0.430
0.168 0.225 0.514
0.168 0.275 0.014
0.194 0.595 0.184
0.194 0.905 0.684
0.264 0.566 0.587
0.264 0.934 0.087
0.404 0.236 0.237
0.404 0.264 0.737
0.447 0.214 0.938
0.447 0.286 0.438
0.468 0.556 0.875
0.468 0.944 0.375
0.532 0.056 0.625
0.532 0.444 0.125
0.553 0.714 0.562
0.553 0.786 0.062
0.596 0.736 0.263
0.596 0.764 0.763
0.736 0.066 0.913
0.736 0.434 0.413
0.806 0.095 0.316
0.806 0.405 0.816
0.832 0.725 0.986
0.832 0.775 0.486
0.857 0.150 0.570
0.857 0.350 0.070
0.970 0.576 0.715
0.970 0.924 0.215
```

Calculated values
* spin magnetization: 0.0000 μB/atom

Winner for stability: *P*